Density functional theory data (PBE with a Hubbard U) for an optimized crystal structure of LiFeF3.

a = 3.116 Å, b = 5.200 Å, c = 15.787 Å
α = 90.00°, β = 90.00°, γ = 90.00°
Site moments in Bohr magnetons follow the coordinates.
Atoms (fractional coordinates):
F1 0.750 0.761 0.641  0.04
F2 0.750 0.701 0.306  0.03
F3 0.250 0.191 0.027  0.06
F4 0.250 0.299 0.694  0.03
F5 0.750 0.201 0.194  0.03
F6 0.250 0.691 0.473  0.06
F7 0.750 0.809 0.973  0.06
F8 0.750 0.261 0.859  0.04
F9 0.250 0.739 0.141  0.04
F10 0.750 0.309 0.527  0.06
F11 0.250 0.799 0.806  0.03
F12 0.250 0.239 0.359  0.04
Li1 0.750 0.058 0.304  0.00
Li2 0.250 0.442 0.804  0.00
Li3 0.750 0.558 0.196  0.00
Li4 0.250 0.942 0.696  0.00
Fe1 0.250 0.513 0.590  3.80
Fe2 0.250 0.013 0.910  3.80
Fe3 0.750 0.987 0.090  3.80
Fe4 0.750 0.487 0.410  3.80

total moment: 16.0 μB/cell
offset from the most stable computed form: 58 meV/atom